(1)
Entry from the Alexandria database: crystalline Cr2B at its relaxed geometry (PBE).

Properties
energy of formation from the pure elements	-0.39	eV per atom
magnetic moment	0.000	μB/cell
theoretical density	6.8	g/cm³

abc: 8.1554 7.5796 4.2341
angles: 82.06 67.00 30.94
With the nearest neighbours (Å) after each atom.
Fractional coordinates of all 12 atoms:
Cr 0.0420 0.0420 0.2080  4 B 2.20, 3 Cr 2.42-2.45
Cr 0.2080 0.2080 0.0420  4 B 2.20, 3 Cr 2.42-2.45
Cr 0.2106 0.5394 0.2106  4 B 2.19, 1 Cr 2.42
Cr 0.4606 0.7894 0.4606  4 B 2.19, 1 Cr 2.42
Cr 0.5394 0.2106 0.5394  4 B 2.19, 1 Cr 2.42
Cr 0.7894 0.4606 0.7894  4 B 2.19, 1 Cr 2.42
Cr 0.7920 0.7920 0.9580  4 B 2.20, 3 Cr 2.42-2.45
Cr 0.9580 0.9580 0.7920  4 B 2.20, 3 Cr 2.42-2.45
B 0.2492 0.2492 0.5008  2 B 2.12, 8 Cr 2.19-2.20
B 0.4992 0.4992 0.7508  2 B 2.12, 8 Cr 2.19-2.20
B 0.5008 0.5008 0.2492  2 B 2.12, 8 Cr 2.19-2.20
B 0.7508 0.7508 0.4992  2 B 2.12, 8 Cr 2.19-2.20

---

(2)
Entry from the Alexandria database: crystalline Cr3B4 at its relaxed geometry (PBE).

Properties
energy of formation from the pure elements	-0.47	eV per atom
magnetic moment	0.009	μB/cell
theoretical density	5.9	g/cm³

abc: 2.9158 2.9362 13.0428
angles: 90.00 90.00 90.00
With the nearest neighbours (Å) after each atom.
Fractional coordinates of all 14 atoms:
Cr 0.0000 0.0000 0.0000  12 B 2.24-2.34
Cr 0.0000 0.5000 0.1859  7 B 2.13-2.27
Cr 0.0000 0.5000 0.8141  7 B 2.13-2.27
Cr 0.5000 0.0000 0.3141  7 B 2.13-2.27
Cr 0.5000 0.0000 0.6859  7 B 2.13-2.27
Cr 0.5000 0.5000 0.5000  12 B 2.24-2.34
B 0.0000 0.0000 0.4336  3 B 1.73-1.75
B 0.0000 0.0000 0.5664  3 B 1.73-1.75
B 0.0000 0.5000 0.3601  2 B 1.75
B 0.0000 0.5000 0.6399  2 B 1.75
B 0.5000 0.0000 0.1399  2 B 1.75
B 0.5000 0.0000 0.8601  2 B 1.75
B 0.5000 0.5000 0.0664  3 B 1.73-1.75
B 0.5000 0.5000 0.9336  3 B 1.73-1.75

---

(3)
Entry from the Alexandria database: crystalline CrB2 at its relaxed geometry (PBE).

Properties
energy of formation from the pure elements	-0.35	eV per atom
magnetic moment	1.137	μB/cell
theoretical density	5.3	g/cm³

abc: 2.9630 2.9630 3.0239
angles: 90.00 90.00 120.00
With the nearest neighbours (Å) after each atom.
Fractional coordinates of all 3 atoms:
Cr 0.0000 0.0000 0.0000  12 B 2.28
B 0.3333 0.6667 0.5000  3 B 1.71
B 0.6667 0.3333 0.5000  3 B 1.71

---

(4)
Entry from the Alexandria database: crystalline CrB4 at its relaxed geometry (PBE).

Properties
energy of formation from the pure elements	0.11	eV per atom
relative energy among the computed polymorphs	0.425	eV per atom
magnetic moment	0.000	μB/cell
theoretical density	3.9	g/cm³

abc: 4.1669 5.8993 7.1069
angles: 81.52 78.31 71.58
With the nearest neighbours (Å) after each atom.
Fractional coordinates of all 20 atoms:
Cr 0.1339 0.1294 0.3236  6 B 2.04-2.29
Cr 0.3374 0.3551 0.7678  8 B 2.09-2.28
Cr 0.6626 0.6449 0.2322  8 B 2.09-2.28
Cr 0.8661 0.8706 0.6764  6 B 2.04-2.29
B 0.1277 0.3420 0.5278  6 B 1.70-1.86
B 0.1314 0.4342 0.0812  3 B 1.68-1.70
B 0.1732 0.9637 0.0664  5 B 1.67-1.83
B 0.1972 0.5044 0.2910  4 B 1.70-1.83
B 0.2445 0.9728 0.8198  4 B 1.63-1.74
B 0.3034 0.5989 0.4874  4 B 1.71-1.84
B 0.3377 0.0500 0.5896  3 B 1.63-1.70
B 0.4306 0.1695 0.0449  4 B 1.67-1.83
B 0.5694 0.8305 0.9551  4 B 1.67-1.83
B 0.6623 0.9500 0.4104  3 B 1.63-1.70
B 0.6966 0.4011 0.5126  4 B 1.71-1.84
B 0.7555 0.0272 0.1802  4 B 1.63-1.74
B 0.8028 0.4956 0.7090  4 B 1.70-1.83
B 0.8268 0.0363 0.9336  5 B 1.67-1.83
B 0.8686 0.5658 0.9188  3 B 1.68-1.70
B 0.8723 0.6580 0.4722  6 B 1.70-1.86

---

(5)
Entry from the Alexandria database: crystalline Cr2B at its relaxed geometry (PBE).

Properties
energy of formation from the pure elements	-0.34	eV per atom
magnetic moment	0.000	μB/cell
theoretical density	6.7	g/cm³

abc: 8.0278 2.8950 5.9412
angles: 90.00 124.45 90.00
With the nearest neighbours (Å) after each atom.
Fractional coordinates of all 12 atoms:
Cr 0.0880 0.0000 0.3614  5 B 2.15-2.36
Cr 0.1688 0.5000 0.0715  3 B 2.11-2.30, 1 Cr 2.34
Cr 0.3312 0.0000 0.9285  3 B 2.11-2.30, 1 Cr 2.34
Cr 0.4120 0.5000 0.6386  5 B 2.15-2.36
Cr 0.5880 0.5000 0.3614  5 B 2.15-2.36
Cr 0.6688 0.0000 0.0715  3 B 2.11-2.30, 1 Cr 2.34
Cr 0.8312 0.5000 0.9285  3 B 2.11-2.30, 1 Cr 2.34
Cr 0.9120 0.0000 0.6386  5 B 2.15-2.36
B 0.1240 0.5000 0.6540  1 B 1.79
B 0.3760 0.0000 0.3460  1 B 1.79
B 0.6240 0.0000 0.6540  1 B 1.79
B 0.8760 0.5000 0.3460  1 B 1.79

---

(6)
Entry from the Alexandria database: crystalline Cr2B3 at its relaxed geometry (PBE).

Properties
energy of formation from the pure elements	-0.32	eV per atom
relative energy among the computed polymorphs	0.122	eV per atom
magnetic moment	0.001	μB/cell
theoretical density	5.9	g/cm³

abc: 2.9280 4.1090 6.3802
angles: 90.00 90.00 90.00
With the nearest neighbours (Å) after each atom.
Fractional coordinates of all 10 atoms:
Cr 0.0000 0.0000 0.2047  8 B 2.17-2.39
Cr 0.0000 0.0000 0.7953  8 B 2.17-2.39
Cr 0.5000 0.5000 0.2953  8 B 2.17-2.39
Cr 0.5000 0.5000 0.7047  8 B 2.17-2.39
B 0.0000 0.2737 0.5000  3 B 1.85-1.86
B 0.0000 0.5000 0.0000  4 B 1.85
B 0.0000 0.7263 0.5000  3 B 1.85-1.86
B 0.5000 0.0000 0.5000  4 B 1.85
B 0.5000 0.2263 0.0000  3 B 1.85-1.86
B 0.5000 0.7737 0.0000  3 B 1.85-1.86

---

(7)
Entry from the Alexandria database: crystalline CrB4 at its relaxed geometry (PBE).

Properties
energy of formation from the pure elements	-0.31	eV per atom
relative energy among the computed polymorphs	0.000	eV per atom
magnetic moment	0.000	μB/cell
theoretical density	4.3	g/cm³

abc: 4.7165 5.4719 2.8518
angles: 90.00 90.00 90.00
With the nearest neighbours (Å) after each atom.
Fractional coordinates of all 10 atoms:
Cr 0.0000 0.0000 0.0000  12 B 2.05-2.25
Cr 0.5000 0.5000 0.5000  12 B 2.05-2.25
B 0.1644 0.3673 0.0000  4 B 1.73-1.85
B 0.2245 0.6794 0.0000  4 B 1.73-1.85
B 0.2755 0.1794 0.5000  4 B 1.73-1.85
B 0.3356 0.8673 0.5000  4 B 1.73-1.85
B 0.6644 0.1327 0.5000  4 B 1.73-1.85
B 0.7245 0.8206 0.5000  4 B 1.73-1.85
B 0.7755 0.3206 0.0000  4 B 1.73-1.85
B 0.8356 0.6327 0.0000  4 B 1.73-1.85

---

(8)
Entry from the Alexandria database: crystalline Cr2B at its relaxed geometry (PBE).

Properties
energy of formation from the pure elements	-0.39	eV per atom
magnetic moment	0.000	μB/cell
theoretical density	6.8	g/cm³

abc: 5.1318 5.1318 4.2747
angles: 90.00 90.00 90.00
With the nearest neighbours (Å) after each atom.
Fractional coordinates of all 12 atoms:
Cr 0.1658 0.3342 0.0000  4 B 2.19, 1 Cr 2.41
Cr 0.1658 0.6658 0.5000  4 B 2.19, 1 Cr 2.41
Cr 0.3342 0.1658 0.5000  4 B 2.19, 1 Cr 2.41
Cr 0.3342 0.8342 0.0000  4 B 2.19, 1 Cr 2.41
Cr 0.6658 0.1658 0.0000  4 B 2.19, 1 Cr 2.41
Cr 0.6658 0.8342 0.5000  4 B 2.19, 1 Cr 2.41
Cr 0.8342 0.3342 0.5000  4 B 2.19, 1 Cr 2.41
Cr 0.8342 0.6658 0.0000  4 B 2.19, 1 Cr 2.41
B 0.0000 0.0000 0.2500  2 B 2.14, 8 Cr 2.19
B 0.0000 0.0000 0.7500  2 B 2.14, 8 Cr 2.19
B 0.5000 0.5000 0.2500  2 B 2.14, 8 Cr 2.19
B 0.5000 0.5000 0.7500  2 B 2.14, 8 Cr 2.19

---

Q: The highest energy of formation from the pure elements belongs to which entry?
A: number 4

---

What did the first record say?
Entry from the Alexandria database: crystalline Cr2B at its relaxed geometry (PBE).

Properties
energy of formation from the pure elements	-0.39	eV per atom
magnetic moment	0.000	μB/cell
theoretical density	6.8	g/cm³

abc: 8.1554 7.5796 4.2341
angles: 82.06 67.00 30.94
With the nearest neighbours (Å) after each atom.
Fractional coordinates of all 12 atoms:
Cr 0.0420 0.0420 0.2080  4 B 2.20, 3 Cr 2.42-2.45
Cr 0.2080 0.2080 0.0420  4 B 2.20, 3 Cr 2.42-2.45
Cr 0.2106 0.5394 0.2106  4 B 2.19, 1 Cr 2.42
Cr 0.4606 0.7894 0.4606  4 B 2.19, 1 Cr 2.42
Cr 0.5394 0.2106 0.5394  4 B 2.19, 1 Cr 2.42
Cr 0.7894 0.4606 0.7894  4 B 2.19, 1 Cr 2.42
Cr 0.7920 0.7920 0.9580  4 B 2.20, 3 Cr 2.42-2.45
Cr 0.9580 0.9580 0.7920  4 B 2.20, 3 Cr 2.42-2.45
B 0.2492 0.2492 0.5008  2 B 2.12, 8 Cr 2.19-2.20
B 0.4992 0.4992 0.7508  2 B 2.12, 8 Cr 2.19-2.20
B 0.5008 0.5008 0.2492  2 B 2.12, 8 Cr 2.19-2.20
B 0.7508 0.7508 0.4992  2 B 2.12, 8 Cr 2.19-2.20